[1]
! PBE CdRe2Os, optimized geometry; values from VASP
&SYSTEM
  ibrav = 0, nat = 8, ntyp = 3
/
ATOMIC_SPECIES
Cd 112.41 Cd.upf
Re 186.21 Re.upf
Os 190.23 Os.upf
CELL_PARAMETERS angstrom
9.5897 0.0000 0.0000
0.0000 2.8165 0.0000
-0.9968 0.0000 4.7332
ATOMIC_POSITIONS angstrom
Cd 0.0000 0.0000 0.0000
Cd 4.7949 1.4083 0.0000
Re 1.5078 0.0000 3.4354
Re 2.2903 1.4083 1.2979
Re 6.3027 1.4083 3.4354
Re 7.0851 0.0000 1.2979
Os -0.4984 1.4083 2.3666
Os 4.2965 0.0000 2.3666
! - formation energy from the elements (eV per atom) = 0.507

[2]
! PBE Cd4ReOs, optimized geometry; values from VASP
&SYSTEM
  ibrav = 0, nat = 6, ntyp = 3
/
ATOMIC_SPECIES
Cd 112.41 Cd.upf
Re 186.21 Re.upf
Os 190.23 Os.upf
CELL_PARAMETERS angstrom
0.0000 3.8128 3.8128
3.8128 0.0000 3.8128
3.8128 3.8128 0.0000
ATOMIC_POSITIONS angstrom
Cd 0.9531 0.9531 0.9531
Cd 2.8597 2.8597 0.9531
Cd 2.8597 0.9531 2.8597
Cd 0.9531 2.8597 2.8597
Re 3.8128 3.8128 3.8128
Os 5.7193 5.7193 5.7193
! - formation energy from the elements (eV per atom) = 1.065

[3]
! PBE CdReOs2, optimized geometry; values from VASP
&SYSTEM
  ibrav = 0, nat = 8, ntyp = 3
/
ATOMIC_SPECIES
Cd 112.41 Cd.upf
Re 186.21 Re.upf
Os 190.23 Os.upf
CELL_PARAMETERS angstrom
2.8522 0.0000 0.0000
0.0000 4.6916 0.0000
0.0000 0.0000 9.5638
ATOMIC_POSITIONS angstrom
Cd 0.0000 0.0000 0.0000
Cd 1.4261 2.3458 0.0000
Re 0.0000 2.3458 2.5806
Re 1.4261 0.0000 2.5806
Os 0.0000 0.0000 4.7950
Os 0.0000 2.3458 7.0559
Os 1.4261 0.0000 7.0559
Os 1.4261 2.3458 4.7950
! - formation energy from the elements (eV per atom) = 0.643

[4]
! PBE CdReOs2, optimized geometry; values from VASP
&SYSTEM
  ibrav = 0, nat = 8, ntyp = 3
/
ATOMIC_SPECIES
Cd 112.41 Cd.upf
Re 186.21 Re.upf
Os 190.23 Os.upf
CELL_PARAMETERS angstrom
2.7633 0.0000 0.0000
0.0000 4.6664 0.0000
0.0000 0.0000 10.2458
ATOMIC_POSITIONS angstrom
Cd 0.0000 0.0000 0.0000
Cd 1.3816 2.3332 5.1229
Re 0.0000 2.3332 2.1376
Re 1.3816 0.0000 7.2606
Os 0.0000 0.0000 5.0072
Os 0.0000 2.3332 7.9381
Os 1.3816 0.0000 2.8151
Os 1.3816 2.3332 10.1301
! - formation energy from the elements (eV per atom) = 0.626

[5]
! PBE CdReOs2, optimized geometry; values from VASP
&SYSTEM
  ibrav = 0, nat = 4, ntyp = 3
/
ATOMIC_SPECIES
Cd 112.41 Cd.upf
Re 186.21 Re.upf
Os 190.23 Os.upf
CELL_PARAMETERS angstrom
2.7675 0.0000 0.0000
0.0000 2.7675 0.0000
0.0000 0.0000 8.2623
ATOMIC_POSITIONS angstrom
Cd 0.0000 0.0000 0.0000
Re 1.3837 1.3837 5.9749
Os 0.0000 0.0000 4.0400
Os 1.3837 1.3837 2.2299
! - formation energy from the elements (eV per atom) = 0.409

[6]
! PBE CdRe2Os, optimized geometry; values from VASP
&SYSTEM
  ibrav = 0, nat = 8, ntyp = 3
/
ATOMIC_SPECIES
Cd 112.41 Cd.upf
Re 186.21 Re.upf
Os 190.23 Os.upf
CELL_PARAMETERS angstrom
2.8040 0.0000 0.0000
0.0000 4.7396 0.0000
0.0000 0.0000 9.9449
ATOMIC_POSITIONS angstrom
Cd 0.0000 0.0000 0.0000
Cd 1.4020 2.3698 4.9725
Re 0.0000 0.0000 4.8650
Re 0.0000 2.3698 2.1222
Re 1.4020 0.0000 7.0947
Re 1.4020 2.3698 9.8375
Os 0.0000 2.3698 7.6834
Os 1.4020 0.0000 2.7109
! - formation energy from the elements (eV per atom) = 0.604

[7]
! PBE CdRe2Os, optimized geometry; values from VASP
&SYSTEM
  ibrav = 0, nat = 12, ntyp = 3
/
ATOMIC_SPECIES
Cd 112.41 Cd.upf
Re 186.21 Re.upf
Os 190.23 Os.upf
CELL_PARAMETERS angstrom
2.8060 0.0000 0.0000
-1.4030 2.4301 0.0000
0.0000 0.0000 28.0751
ATOMIC_POSITIONS angstrom
Cd 0.0000 0.0000 0.0000
Cd 0.0000 1.6201 18.7167
Cd 1.4030 0.8100 9.3584
Re 0.0000 0.0000 6.8165
Re 0.0000 0.0000 21.2586
Re 0.0000 1.6201 11.9002
Re 0.0000 1.6201 25.5333
Re 1.4030 0.8100 2.5418
Re 1.4030 0.8100 16.1749
Os 0.0000 0.0000 14.0375
Os 0.0000 1.6201 4.6792
Os 1.4030 0.8100 23.3959
! - formation energy from the elements (eV per atom) = 0.299

[8]
! PBE CdReOs3, optimized geometry; values from VASP
&SYSTEM
  ibrav = 0, nat = 5, ntyp = 3
/
ATOMIC_SPECIES
Cd 112.41 Cd.upf
Re 186.21 Re.upf
Os 190.23 Os.upf
CELL_PARAMETERS angstrom
4.7296 0.0000 0.0000
0.0000 4.7296 0.0000
0.0000 0.0000 4.7296
ATOMIC_POSITIONS angstrom
Cd 0.0000 0.0000 0.0000
Re 2.3648 2.3648 2.3648
Os 0.0000 2.3648 2.3648
Os 2.3648 0.0000 2.3648
Os 2.3648 2.3648 0.0000
! - distance to the lowest polymorph of the same formula (eV per formula unit) = 0.000
! - formation energy from the elements (eV per atom) = 2.052

[9]
! PBE CdRe2Os, optimized geometry; values from VASP
&SYSTEM
  ibrav = 0, nat = 8, ntyp = 3
/
ATOMIC_SPECIES
Cd 112.41 Cd.upf
Re 186.21 Re.upf
Os 190.23 Os.upf
CELL_PARAMETERS angstrom
4.0026 0.0000 0.0000
0.0000 4.0026 0.0000
0.0000 0.0000 7.8561
ATOMIC_POSITIONS angstrom
Cd 0.0000 0.0000 0.0000
Cd 2.0013 2.0013 3.9280
Re 0.0000 0.0000 3.9280
Re 0.0000 2.0013 1.9640
Re 2.0013 0.0000 5.8920
Re 2.0013 2.0013 0.0000
Os 0.0000 2.0013 5.8920
Os 2.0013 0.0000 1.9640
! - formation energy from the elements (eV per atom) = 0.669

[10]
! PBE CdReOs, optimized geometry; values from VASP
&SYSTEM
  ibrav = 0, nat = 12, ntyp = 3
/
ATOMIC_SPECIES
Cd 112.41 Cd.upf
Re 186.21 Re.upf
Os 190.23 Os.upf
CELL_PARAMETERS angstrom
2.8968 0.0000 0.0000
0.0000 4.7300 0.0000
0.0000 0.0000 14.5316
ATOMIC_POSITIONS angstrom
Cd 0.0000 0.0000 0.0000
Cd 0.0000 2.3650 7.2658
Cd 1.4484 0.0000 7.2658
Cd 1.4484 2.3650 0.0000
Re 0.0000 0.0000 4.6731
Re 0.0000 2.3650 11.9389
Re 1.4484 0.0000 11.9389
Re 1.4484 2.3650 4.6731
Os 0.0000 0.0000 9.8223
Os 0.0000 2.3650 2.5565
Os 1.4484 0.0000 2.5565
Os 1.4484 2.3650 9.8223
! - distance to the lowest polymorph of the same formula (eV per formula unit) = 0.821
! - formation energy from the elements (eV per atom) = 0.559

[11]
! PBE CdReOs, optimized geometry; values from VASP
&SYSTEM
  ibrav = 0, nat = 12, ntyp = 3
/
ATOMIC_SPECIES
Cd 112.41 Cd.upf
Re 186.21 Re.upf
Os 190.23 Os.upf
CELL_PARAMETERS angstrom
6.0952 0.0000 0.0000
0.0000 6.0952 0.0000
0.0000 0.0000 6.0952
ATOMIC_POSITIONS angstrom
Cd 0.0000 0.0000 0.0000
Cd 0.0000 3.0476 3.0476
Cd 3.0476 0.0000 3.0476
Cd 3.0476 3.0476 0.0000
Re 0.0000 0.0000 3.0476
Re 0.0000 3.0476 0.0000
Re 3.0476 0.0000 0.0000
Re 3.0476 3.0476 3.0476
Os 1.5238 1.5238 1.5238
Os 1.5238 4.5714 4.5714
Os 4.5714 1.5238 4.5714
Os 4.5714 4.5714 1.5238
! - distance to the lowest polymorph of the same formula (eV per formula unit) = 1.676
! - formation energy from the elements (eV per atom) = 0.844

[12]
! PBE CdRe2Os, optimized geometry; values from VASP
&SYSTEM
  ibrav = 0, nat = 12, ntyp = 3
/
ATOMIC_SPECIES
Cd 112.41 Cd.upf
Re 186.21 Re.upf
Os 190.23 Os.upf
CELL_PARAMETERS angstrom
2.8052 0.0000 0.0000
-1.4026 2.4294 0.0000
0.0000 0.0000 28.1096
ATOMIC_POSITIONS angstrom
Cd 0.0000 0.0000 0.0000
Cd 0.0000 1.6196 18.7397
Cd 1.4026 0.8098 9.3699
Re 0.0000 0.0000 14.0859
Re 0.0000 0.0000 21.2859
Re 0.0000 1.6196 4.7161
Re 0.0000 1.6196 11.9161
Re 1.4026 0.8098 2.5462
Re 1.4026 0.8098 23.4558
Os 0.0000 0.0000 6.8501
Os 0.0000 1.6196 25.5899
Os 1.4026 0.8098 16.2200
! - formation energy from the elements (eV per atom) = 0.276

[13]
! PBE CdReOs, optimized geometry; values from VASP
&SYSTEM
  ibrav = 0, nat = 6, ntyp = 3
/
ATOMIC_SPECIES
Cd 112.41 Cd.upf
Re 186.21 Re.upf
Os 190.23 Os.upf
CELL_PARAMETERS angstrom
2.8808 0.0000 0.0000
0.0000 2.8808 0.0000
0.0000 0.0000 12.0364
ATOMIC_POSITIONS angstrom
Cd 0.0000 0.0000 0.0000
Cd 1.4404 1.4404 6.0182
Re 0.0000 0.0000 3.7805
Re 1.4404 1.4404 9.7987
Os 0.0000 0.0000 8.2238
Os 1.4404 1.4404 2.2056
! - distance to the lowest polymorph of the same formula (eV per formula unit) = 0.057
! - formation energy from the elements (eV per atom) = 0.304

[14]
! PBE CdReOs2, optimized geometry; values from VASP
&SYSTEM
  ibrav = 0, nat = 4, ntyp = 3
/
ATOMIC_SPECIES
Cd 112.41 Cd.upf
Re 186.21 Re.upf
Os 190.23 Os.upf
CELL_PARAMETERS angstrom
2.8222 0.0000 0.0000
0.0000 2.8222 0.0000
0.0000 0.0000 7.9696
ATOMIC_POSITIONS angstrom
Cd 0.0000 0.0000 0.0000
Re 0.0000 0.0000 3.9848
Os 1.4111 1.4111 2.1916
Os 1.4111 1.4111 5.7780
! - formation energy from the elements (eV per atom) = 0.318

[15]
! PBE CdReOs2, optimized geometry; values from VASP
&SYSTEM
  ibrav = 0, nat = 8, ntyp = 3
/
ATOMIC_SPECIES
Cd 112.41 Cd.upf
Re 186.21 Re.upf
Os 190.23 Os.upf
CELL_PARAMETERS angstrom
5.6709 0.0000 0.0000
0.0000 7.8815 0.0000
0.0000 0.0000 2.7946
ATOMIC_POSITIONS angstrom
Cd 0.0000 0.0000 0.0000
Cd 2.8354 3.9408 0.0000
Re 0.0000 3.9408 0.0000
Re 2.8354 0.0000 0.0000
Os 1.4177 1.9704 1.3973
Os 1.4177 5.9111 1.3973
Os 4.2532 1.9704 1.3973
Os 4.2532 5.9111 1.3973
! - formation energy from the elements (eV per atom) = 0.673

[16]
! PBE CdReOs2, optimized geometry; values from VASP
&SYSTEM
  ibrav = 0, nat = 16, ntyp = 3
/
ATOMIC_SPECIES
Cd 112.41 Cd.upf
Re 186.21 Re.upf
Os 190.23 Os.upf
CELL_PARAMETERS angstrom
7.3791 0.0000 0.0000
0.0000 7.3791 0.0000
0.0000 0.0000 5.3776
ATOMIC_POSITIONS angstrom
Cd 0.0000 0.0000 0.0000
Cd 0.0000 3.6895 1.3444
Cd 3.6895 0.0000 4.0332
Cd 3.6895 3.6895 2.6888
Re 0.0000 0.0000 2.6888
Re 0.0000 3.6895 4.0332
Re 3.6895 0.0000 1.3444
Re 3.6895 3.6895 0.0000
Os 1.4452 1.8448 3.3610
Os 1.8448 5.1348 4.7054
Os 1.8448 5.9338 2.0166
Os 2.2443 1.8448 0.6722
Os 5.1348 5.5343 0.6722
Os 5.5343 1.4452 2.0166
Os 5.5343 2.2443 4.7054
Os 5.9338 5.5343 3.3610
! - formation energy from the elements (eV per atom) = 1.005

[17]
! PBE CdRe2Os, optimized geometry; values from VASP
&SYSTEM
  ibrav = 0, nat = 4, ntyp = 3
/
ATOMIC_SPECIES
Cd 112.41 Cd.upf
Re 186.21 Re.upf
Os 190.23 Os.upf
CELL_PARAMETERS angstrom
2.7817 0.0000 0.0000
0.0000 3.9922 0.0000
0.0000 0.0000 5.8065
ATOMIC_POSITIONS angstrom
Cd 0.0000 0.0000 0.0000
Re 1.3909 1.9961 1.6476
Re 1.3909 1.9961 4.1590
Os 0.0000 0.0000 2.9033
! - formation energy from the elements (eV per atom) = 0.504

[18]
! PBE CdRe2Os, optimized geometry; values from VASP
&SYSTEM
  ibrav = 0, nat = 4, ntyp = 3
/
ATOMIC_SPECIES
Cd 112.41 Cd.upf
Re 186.21 Re.upf
Os 190.23 Os.upf
CELL_PARAMETERS angstrom
2.8082 0.0000 0.0000
0.0000 2.8082 0.0000
0.0000 0.0000 8.1427
ATOMIC_POSITIONS angstrom
Cd 0.0000 0.0000 0.0000
Re 0.0000 0.0000 3.9576
Re 1.4041 1.4041 5.8925
Os 1.4041 1.4041 2.2113
! - formation energy from the elements (eV per atom) = 0.342

[19]
! PBE CdRe2Os, optimized geometry; values from VASP
&SYSTEM
  ibrav = 0, nat = 8, ntyp = 3
/
ATOMIC_SPECIES
Cd 112.41 Cd.upf
Re 186.21 Re.upf
Os 190.23 Os.upf
CELL_PARAMETERS angstrom
2.8968 0.0000 0.0000
0.0000 4.6394 0.0000
0.0000 0.0000 9.5952
ATOMIC_POSITIONS angstrom
Cd 0.0000 0.0000 0.0000
Cd 1.4484 2.3197 0.0000
Re 0.0000 2.3197 2.5594
Re 0.0000 2.3197 7.0358
Re 1.4484 0.0000 2.5594
Re 1.4484 0.0000 7.0358
Os 0.0000 0.0000 4.7976
Os 1.4484 2.3197 4.7976
! - formation energy from the elements (eV per atom) = 0.568

[20]
! PBE CdRe2Os2, optimized geometry; values from VASP
&SYSTEM
  ibrav = 0, nat = 10, ntyp = 3
/
ATOMIC_SPECIES
Cd 112.41 Cd.upf
Re 186.21 Re.upf
Os 190.23 Os.upf
CELL_PARAMETERS angstrom
7.7253 0.0000 0.0000
0.0000 7.7253 0.0000
0.0000 0.0000 2.7724
ATOMIC_POSITIONS angstrom
Cd 0.0000 0.0000 0.0000
Cd 3.8626 3.8626 0.0000
Re 0.9455 2.9172 0.0000
Re 2.9172 6.7798 0.0000
Re 4.8081 0.9455 0.0000
Re 6.7798 4.8081 0.0000
Os 1.2693 5.1319 1.3862
Os 2.5933 1.2693 1.3862
Os 5.1319 6.4560 1.3862
Os 6.4560 2.5933 1.3862
! - distance to the lowest polymorph of the same formula (eV per formula unit) = 0.110
! - formation energy from the elements (eV per atom) = 0.330

Number 1: raw total energy -0.322 Ha/atom. Number 2: raw total energy -0.128 Ha/atom. Number 3: raw total energy -0.305 Ha/atom. Number 4: raw total energy -0.306 Ha/atom. Number 5: raw total energy -0.314 Ha/atom. Number 6: raw total energy -0.318 Ha/atom. Number 7: raw total energy -0.329 Ha/atom. Number 8: raw total energy -0.270 Ha/atom. Number 9: raw total energy -0.316 Ha/atom. Number 10: raw total energy -0.281 Ha/atom. Number 11: raw total energy -0.270 Ha/atom. Number 12: raw total energy -0.330 Ha/atom. Number 13: raw total energy -0.290 Ha/atom. Number 14: raw total energy -0.317 Ha/atom. Number 15: raw total energy -0.304 Ha/atom. Number 16: raw total energy -0.292 Ha/atom. Number 17: raw total energy -0.322 Ha/atom. Number 18: raw total energy -0.328 Ha/atom. Number 19: raw total energy -0.319 Ha/atom. Number 20: raw total energy -0.343 Ha/atom.